(1)
## KZnCdHg2 (PBE)

Data for a relaxed KZnCdHg2 crystal.

Summary:
- symmetry = P4/mmm
- formation energy (meV per atom) = 32.1
- total DFT energy (no corrections) (eV for the cell shown) = -3.7
- mass density (g cm⁻³) = 6.01
- distance to the lowest polymorph of the same formula (meV per atom) = 82
- total moment (μB per formula unit) = 0.00

Unit cell a=5.7327 b=5.7327 c=5.1929 alpha=90.00 beta=90.00 gamma=90.00
Closest atoms and distances in Å follow each position.
Element x y z (fractional)
K (0.0000, 0.0000, 0.0000)  8 Hg 3.87, 4 Zn 4.05
Zn (0.5000, 0.5000, 0.0000)  2 Cd 2.60
Cd (0.5000, 0.5000, 0.5000)  2 Zn 2.60, 4 Hg 2.87
Hg (0.0000, 0.5000, 0.5000)  2 Cd 2.87
Hg (0.5000, 0.0000, 0.5000)  2 Cd 2.87



(2)
## KZnCdHg2 (PBE)

Data for a relaxed KZnCdHg2 crystal.

Summary:
- symmetry = P4/mmm
- formation energy (meV per atom) = -49.8
- total DFT energy (no corrections) (eV for the cell shown) = -4.1
- mass density (g cm⁻³) = 6.67
- distance to the lowest polymorph of the same formula (meV per atom) = 0
- total moment (μB per formula unit) = 0.00

Unit cell a=5.4402 b=5.4402 c=5.1991 alpha=90.00 beta=90.00 gamma=90.00
Closest atoms and distances in Å follow each position.
Element x y z (fractional)
K (0.0000, 0.0000, 0.0000)  8 Hg 3.76, 4 Cd 3.85
Zn (0.5000, 0.5000, 0.5000)  2 Cd 2.60, 4 Hg 2.72
Cd (0.5000, 0.5000, 0.0000)  2 Zn 2.60
Hg (0.0000, 0.5000, 0.5000)  2 Zn 2.72
Hg (0.5000, 0.0000, 0.5000)  2 Zn 2.72



(3)
## KZnCdHg (PBE)

Data for a relaxed KZnCdHg crystal.

Summary:
- symmetry = F-43m
- formation energy (meV per atom) = 22.6
- total DFT energy (no corrections) (eV for the cell shown) = -3.5
- mass density (g cm⁻³) = 6.28
- total moment (μB per formula unit) = 0.00

Unit cell a=5.3848 b=5.3848 c=5.3848 alpha=60.00 beta=60.00 gamma=60.00
Closest atoms and distances in Å follow each position.
Element x y z (fractional)
K (0.0000, 0.0000, 0.0000)  4 Hg 3.30, 4 Zn 3.30
Zn (0.7500, 0.7500, 0.7500)  4 Cd 3.30, 4 K 3.30
Cd (0.5000, 0.5000, 0.5000)  4 Hg 3.30, 4 Zn 3.30
Hg (0.2500, 0.2500, 0.2500)  4 Cd 3.30, 4 K 3.30



(4)
## K2ZnCdHg (PBE)

Data for a relaxed K2ZnCdHg crystal.

Summary:
- symmetry = P4/mmm
- formation energy (meV per atom) = 62.6
- total DFT energy (no corrections) (eV for the cell shown) = -4.4
- mass density (g cm⁻³) = 3.52
- total moment (μB per formula unit) = 0.00

Unit cell a=6.5237 b=6.5237 c=5.0630 alpha=90.00 beta=90.00 gamma=90.00
Closest atoms and distances in Å follow each position.
Element x y z (fractional)
K (0.0000, 0.5000, 0.0000)  2 Zn 3.26
K (0.5000, 0.0000, 0.0000)  2 Zn 3.26
Zn (0.0000, 0.0000, 0.0000)  2 Cd 2.53
Cd (0.0000, 0.0000, 0.5000)  2 Zn 2.53
Hg (0.5000, 0.5000, 0.5000)  8 K 4.13, 4 Cd 4.61



(5)
## LaCdHg (PBE)

Data for a relaxed LaCdHg crystal.

Summary:
- symmetry = P-6m2
- formation energy (meV per atom) = -441.7
- total DFT energy (no corrections) (eV for the cell shown) = -7.5
- mass density (g cm⁻³) = 9.33
- total moment (μB per formula unit) = 0.13

Unit cell a=5.1219 b=5.1219 c=3.5390 alpha=90.00 beta=90.00 gamma=120.00
Closest atoms and distances in Å follow each position.
Element x y z (fractional)
La (0.0000, 0.0000, 0.0000)  6 Cd 3.45, 6 Hg 3.45, 2 La 3.54
Cd (0.3333, 0.6667, 0.5000)  3 Hg 2.96
Hg (0.6667, 0.3333, 0.5000)  3 Cd 2.96



(6)
## La4CdHg (PBE)

Data for a relaxed La4CdHg crystal.

Summary:
- symmetry = F-43m
- formation energy (meV per atom) = 178.3
- total DFT energy (no corrections) (eV for the cell shown) = -19.9
- mass density (g cm⁻³) = 7.36
- distance to the lowest polymorph of the same formula (meV per atom) = 444
- total moment (μB per formula unit) = 0.09

Unit cell a=6.5207 b=6.5207 c=6.5207 alpha=60.00 beta=60.00 gamma=60.00
Closest atoms and distances in Å follow each position.
Element x y z (fractional)
La (0.1251, 0.1251, 0.1251)  6 La 3.26
La (0.1251, 0.1251, 0.6248)  6 La 3.26
La (0.1251, 0.6248, 0.1251)  6 La 3.26
La (0.6248, 0.1251, 0.1251)  6 La 3.26
Cd (0.7500, 0.7500, 0.7500)  12 La 3.82, 4 Hg 3.99
Hg (0.5000, 0.5000, 0.5000)  12 La 3.82, 4 Cd 3.99